12
Lattice="-3.214 1.475 3.813 2.091 -3.477 3.222 4.960 5.122 2.037" Properties=species:S:1:pos:R:3 comment="Ca2TlVF8 (PBE with a Hubbard U, optimized geometry)" dft_energy_ev_per_atom=-5.575 magnetic_moment_mub_per_cell=2.0 sg=P-1 pbc="T T T"
Ca 3.182 2.864 5.057
Ca 0.654 0.256 4.016
Tl 2.480 2.561 1.019
V 0.000 0.000 0.000
F 1.980 -1.554 3.635
F -0.730 -1.501 5.082
F -1.289 1.418 4.244
F 1.857 4.674 5.438
F 4.567 4.621 3.991
F 5.126 1.701 4.829
F 2.019 1.023 5.652
F 1.817 2.097 3.420